Entry 1:
First-principles (PBE) data for a geometry-optimized LuSbIr2 structure, as listed in Alexandria via LeMat-Bulk.

Lattice parameters (Å, degrees): 3.832 4.345 4.345 90.00 90.00 90.00
Fractional positions:
Ir1 0.000 0.500 0.000
Sb1 0.500 0.000 0.000
Lu1 0.500 0.500 0.500
Ir2 0.000 0.000 0.500

As for the final energy: -7.132 eV per atom. As for the space group: P4/mmm.

Entry 2:
First-principles (PBE) data for a geometry-optimized MnSi2Te structure, as listed in Alexandria via LeMat-Bulk.

Lattice parameters (Å, degrees): 4.875 4.875 4.875 126.54 126.54 79.01
Fractional positions:
Si1 0.000 0.000 0.000
Te1 0.500 0.500 0.000
Si2 0.250 0.750 0.500
Mn1 0.750 0.250 0.500

As for the final energy: -5.186 eV per atom. As for the space group: I-4m2.

Entry 3:
First-principles (PBE) data for a geometry-optimized AcNdOs structure, as listed in Alexandria via LeMat-Bulk.

Lattice parameters (Å, degrees): 3.604 3.604 7.598 103.72 103.72 90.00
Fractional positions:
Os1 0.662 0.662 0.323
Nd1 0.047 0.047 0.095
Ac1 0.291 0.291 0.582

As for the final energy: -6.630 eV per atom. The offset from the most stable computed form is 86 meV per atom. The formation enthalpy at 0 K is 72 meV per atom. As for the space group: I4mm.

Entry 4:
First-principles (PBE) data for a geometry-optimized LaSm2PaAs4 structure, as listed in Alexandria via LeMat-Bulk.

Lattice parameters (Å, degrees): 5.956 5.956 7.302 114.07 114.07 90.00
Fractional positions:
Pa1 0.750 0.250 0.500
As1 0.509 0.009 0.018
Sm1 0.250 0.750 0.500
La1 0.500 0.500 0.000
As2 0.247 0.247 0.494
Sm2 0.000 0.000 0.000
As3 0.753 0.753 0.506
As4 0.991 0.491 0.982

As for the final energy: -6.720 eV per atom. The formation enthalpy at 0 K is -1413 meV per atom. As for the space group: I-4m2.

Entry 5:
First-principles (PBE) data for a geometry-optimized ReOsPt2 structure, as listed in Alexandria via LeMat-Bulk.

Lattice parameters (Å, degrees): 5.633 5.633 6.871 65.80 65.80 90.00
Fractional positions:
Pt1 0.375 0.375 0.750
Pt2 0.125 0.625 0.250
Pt3 0.625 0.125 0.250
Pt4 0.875 0.875 0.750
Re1 0.500 0.500 0.000
Re2 0.250 0.750 0.500
Os1 0.000 0.000 0.000
Os2 0.750 0.250 0.500

As for the final energy: -7.737 eV per atom. The offset from the most stable computed form is 1287 meV per atom. The formation enthalpy at 0 K is 1202 meV per atom. As for the space group: I-42d.

Entry 6:
First-principles (PBE) data for a geometry-optimized MnZnBr structure, as listed in Alexandria via LeMat-Bulk.

Lattice parameters (Å, degrees): 3.485 3.485 6.134 90.00 90.00 120.00
Fractional positions:
Zn1 0.667 0.333 0.607
Br1 0.000 0.000 0.058
Mn1 0.333 0.667 0.335

As for the final energy: -3.980 eV per atom. The offset from the most stable computed form is 0 meV per atom. As for the space group: P3m1.